5
Lattice="-3.054 2.917 0.057 -1.080 -1.053 -3.946 -2.369 -5.625 4.411" Properties=species:S:1:pos:R:3 comment="Hf2ScTe2 PBE relaxed" magnetic_moment_mub_per_fu=0.00 total_energy_ev_per_atom=-6.75 mass_density_g_cm3=8.8 pbc="T T T"
Hf -3.745 -0.888 1.262
Hf -2.758 -2.873 -0.739
Sc 0.000 0.000 0.000
Te -3.045 -0.103 -1.400
Te -3.458 -3.658 1.923